Entry from Alexandria via LeMat-Bulk: a geometry-optimized Ru3SF structure (GGA-PBE).

Cell lengths 4.370, 4.370, 4.370 Å; angles 90.00, 90.00, 90.00 degrees
Space group Pm-3m (No. 221)
One atom of each set of equivalent atoms:
Ru 0.000 0.000 0.500 x3
S 0.000 0.000 0.000 x1
F 0.500 0.500 0.500 x1

## Properties
The energy above the most stable polymorph in this dataset is 0 meV/atom. The calculation puts the density of states at the Fermi level at 4.84 states/eV/f.u. The uncorrected formation energy comes out at 0.6750 eV/atom. Its total energy is -6.0902 eV per atom.